Record 1
! BeCuPb2 (PBE-GGA, relaxed); values from VASP
&SYSTEM
  ibrav = 0, nat = 4, ntyp = 3
/
ATOMIC_SPECIES
Be 9.01 Be.upf
Cu 63.55 Cu.upf
Pb 207.20 Pb.upf
CELL_PARAMETERS angstrom
3.4329 -1.9816 0.0000
3.4329 1.9816 0.0000
-2.0846 0.0000 6.5995
ATOMIC_POSITIONS crystal
Be 0.0000 0.0000 0.0000
Cu 0.3325 0.3325 0.9987
Pb 0.5853 0.5853 0.7333
Pb 0.7472 0.7472 0.2652
! - Formation energy: 0.17 eV per atom
! - Density of states at the Fermi level: 0.2782 states/eV per atom
! - Space group: Cm


Record 2
! Ba3Sr5Au2 (PBE-GGA, relaxed); values from VASP
&SYSTEM
  ibrav = 0, nat = 20, ntyp = 3
/
ATOMIC_SPECIES
Ba 137.33 Ba.upf
Sr 87.62 Sr.upf
Au 196.97 Au.upf
CELL_PARAMETERS angstrom
-6.1331 9.0379 4.5790
6.1331 -9.0379 4.5790
6.1331 9.0379 -4.5790
ATOMIC_POSITIONS crystal
Ba 0.1274 0.7411 0.8685
Ba 0.2500 0.2500 0.0000
Ba 0.3726 0.2411 0.6138
Ba 0.6274 0.7589 0.3862
Ba 0.7500 0.7500 0.0000
Ba 0.8726 0.2589 0.1315
Sr 0.0009 0.2500 0.7509
Sr 0.1257 0.2623 0.3880
Sr 0.2500 0.7500 0.5000
Sr 0.3743 0.7623 0.1366
Sr 0.4991 0.2500 0.2491
Sr 0.5009 0.7500 0.7509
Sr 0.6257 0.2377 0.8634
Sr 0.7500 0.2500 0.5000
Sr 0.8743 0.7377 0.6120
Sr 0.9991 0.7500 0.2491
Au 0.1329 0.0074 0.1404
Au 0.3671 0.5074 0.8745
Au 0.6329 0.4926 0.1255
Au 0.8671 0.9926 0.8596
! - Formation energy: -0.31 eV per atom
! - Density of states at the Fermi level: 0.9015 states/eV per atom
! - Space group: Ibam


Record 3
! NaGaCuTe3 (PBE-GGA, relaxed); values from VASP
&SYSTEM
  ibrav = 0, nat = 12, ntyp = 4
/
ATOMIC_SPECIES
Na 22.99 Na.upf
Ga 69.72 Ga.upf
Cu 63.55 Cu.upf
Te 127.60 Te.upf
CELL_PARAMETERS angstrom
8.4618 0.0000 0.0000
0.0000 4.0005 0.0000
-2.9232 0.0000 10.8754
ATOMIC_POSITIONS crystal
Na 0.1756 0.2500 0.1757
Na 0.8244 0.7500 0.8243
Ga 0.0942 0.2500 0.6225
Ga 0.9058 0.7500 0.3775
Cu 0.3695 0.7500 0.9101
Cu 0.6305 0.2500 0.0899
Te 0.1343 0.2500 0.8594
Te 0.2234 0.7500 0.5195
Te 0.4554 0.7500 0.1558
Te 0.5446 0.2500 0.8442
Te 0.7766 0.2500 0.4805
Te 0.8657 0.7500 0.1406
! - Density of states at the Fermi level: 0.5873 states/eV per atom
! - Energy relative to the elements, uncorrected: -0.285 eV/atom
! - Space group: P2_1/m


Record 4
! NaSiAg3 (PBE-GGA, relaxed); values from VASP
&SYSTEM
  ibrav = 0, nat = 20, ntyp = 3
/
ATOMIC_SPECIES
Na 22.99 Na.upf
Si 28.09 Si.upf
Ag 107.87 Ag.upf
CELL_PARAMETERS angstrom
7.2241 -4.5786 0.0000
7.2241 4.5786 0.0000
-1.2924 0.0000 5.8853
ATOMIC_POSITIONS crystal
Na 0.0138 0.9862 0.7500
Na 0.3539 0.6461 0.2500
Na 0.6461 0.3539 0.7500
Na 0.9862 0.0138 0.2500
Si 0.2440 0.5907 0.7044
Si 0.4093 0.7560 0.7956
Si 0.5907 0.2440 0.2044
Si 0.7560 0.4093 0.2956
Ag 0.0149 0.3375 0.0821
Ag 0.0186 0.3316 0.5960
Ag 0.3185 0.3260 0.9151
Ag 0.3260 0.3185 0.4151
Ag 0.3316 0.0186 0.0960
Ag 0.3375 0.0149 0.5821
Ag 0.6625 0.9851 0.4179
Ag 0.6684 0.9814 0.9040
Ag 0.6740 0.6815 0.5849
Ag 0.6815 0.6740 0.0849
Ag 0.9814 0.6684 0.4040
Ag 0.9851 0.6625 0.9179
! - Density of states at the Fermi level: 0.3120 states/eV per atom
! - Energy relative to the elements, uncorrected: 0.025 eV/atom
! - Space group: C2/c


Record 5
! La4CoAu2Cl (PBE-GGA, relaxed); values from VASP
&SYSTEM
  ibrav = 0, nat = 8, ntyp = 4
/
ATOMIC_SPECIES
La 138.91 La.upf
Co 58.93 Co.upf
Au 196.97 Au.upf
Cl 35.45 Cl.upf
CELL_PARAMETERS angstrom
7.4057 0.0000 0.0000
0.0000 4.2532 0.0000
-2.2844 0.0000 7.1734
ATOMIC_POSITIONS crystal
La 0.2278 0.0000 0.2751
La 0.2317 0.5000 0.7255
La 0.7683 0.5000 0.2745
La 0.7722 0.0000 0.7249
Co 0.0000 0.0000 0.5000
Au 0.5000 0.0000 0.0000
Au 0.5000 0.5000 0.5000
Cl 0.0000 0.5000 0.0000
! - Density of states at the Fermi level: 0.9664 states/eV per atom
! - Energy relative to the elements, uncorrected: -0.787 eV/atom
! - Space group: P2/m


Record 6
! ScMnW2 (PBE-GGA, relaxed); values from VASP
&SYSTEM
  ibrav = 0, nat = 4, ntyp = 3
/
ATOMIC_SPECIES
Sc 44.96 Sc.upf
Mn 54.94 Mn.upf
W 183.84 W.upf
CELL_PARAMETERS angstrom
-1.9104 1.9104 4.5240
1.9104 -1.9104 4.5240
1.9104 1.9104 -4.5240
ATOMIC_POSITIONS crystal
Sc 0.0000 0.0000 0.0000
Mn 0.5000 0.5000 0.0000
W 0.2500 0.7500 0.5000
W 0.7500 0.2500 0.5000
! - Formation energy: 0.31 eV per atom
! - Density of states at the Fermi level: 0.7802 states/eV per atom
! - Space group: I4/mmm
! - Offset from the most stable computed form: 223 meV per atom


Record 7
! Li2Cd6Ni (PBE-GGA, relaxed); values from VASP
&SYSTEM
  ibrav = 0, nat = 9, ntyp = 3
/
ATOMIC_SPECIES
Li 6.94 Li.upf
Cd 112.41 Cd.upf
Ni 58.69 Ni.upf
CELL_PARAMETERS angstrom
5.2381 -3.9488 0.0000
5.2381 3.9488 0.0000
-2.2057 0.0000 4.3308
ATOMIC_POSITIONS crystal
Li 0.1975 0.1975 0.1950
Li 0.8025 0.8025 0.8050
Cd 0.0308 0.6516 0.3419
Cd 0.3210 0.6790 0.0000
Cd 0.3484 0.9692 0.6581
Cd 0.6516 0.0308 0.3419
Cd 0.6790 0.3210 0.0000
Cd 0.9692 0.3484 0.6581
Ni 0.5000 0.5000 0.5000
! - Formation energy: -0.03 eV per atom
! - Density of states at the Fermi level: 0.4185 states/eV per atom
! - Space group: C2/m
! - Offset from the most stable computed form: 99 meV per atom


Record 8
! HoErAgPd (PBE-GGA, relaxed); values from VASP
&SYSTEM
  ibrav = 0, nat = 4, ntyp = 4
/
ATOMIC_SPECIES
Ho 164.93 Ho.upf
Er 167.26 Er.upf
Ag 107.87 Ag.upf
Pd 106.42 Pd.upf
CELL_PARAMETERS angstrom
0.0000 3.5462 3.5462
3.5462 0.0000 3.5462
3.5462 3.5462 0.0000
ATOMIC_POSITIONS crystal
Ho 0.0000 0.0000 0.0000
Er 0.5000 0.5000 0.5000
Ag 0.7500 0.7500 0.7500
Pd 0.2500 0.2500 0.2500
! - Formation energy: -0.61 eV per atom
! - Density of states at the Fermi level: 0.8450 states/eV per atom
! - Space group: F-43m
! - Offset from the most stable computed form: 13 meV per atom


Record 9
! TmV2Ga8 (PBE-GGA, relaxed); values from VASP
&SYSTEM
  ibrav = 0, nat = 11, ntyp = 3
/
ATOMIC_SPECIES
Tm 168.93 Tm.upf
V 50.94 V.upf
Ga 69.72 Ga.upf
CELL_PARAMETERS angstrom
3.6150 -5.7372 0.0000
3.6150 5.7372 0.0000
-1.3778 0.0000 4.8638
ATOMIC_POSITIONS crystal
Tm 0.0000 0.0000 0.0000
V 0.2880 0.7120 0.5000
V 0.7120 0.2880 0.5000
Ga 0.1021 0.3221 0.6180
Ga 0.2699 0.7301 0.0000
Ga 0.3221 0.1021 0.6180
Ga 0.4144 0.4144 0.2368
Ga 0.5856 0.5856 0.7632
Ga 0.6779 0.8979 0.3820
Ga 0.7301 0.2699 0.0000
Ga 0.8979 0.6779 0.3820
! - Formation energy: -0.05 eV per atom
! - Density of states at the Fermi level: 0.5544 states/eV per atom
! - Space group: C2/m


Record 10
! Cu2SbRh2 (PBE-GGA, relaxed); values from VASP
&SYSTEM
  ibrav = 0, nat = 10, ntyp = 3
/
ATOMIC_SPECIES
Cu 63.55 Cu.upf
Sb 121.76 Sb.upf
Rh 102.91 Rh.upf
CELL_PARAMETERS angstrom
6.5828 0.0000 0.0000
0.0000 6.5828 0.0000
0.0000 0.0000 3.7093
ATOMIC_POSITIONS crystal
Cu 0.1473 0.3527 0.0000
Cu 0.3527 0.8527 0.0000
Cu 0.6473 0.1473 0.0000
Cu 0.8527 0.6473 0.0000
Sb 0.0000 0.0000 0.5000
Sb 0.5000 0.5000 0.5000
Rh 0.1432 0.6432 0.5000
Rh 0.3568 0.1432 0.5000
Rh 0.6432 0.8568 0.5000
Rh 0.8568 0.3568 0.5000
! - Density of states at the Fermi level: 0.6592 states/eV per atom
! - Energy relative to the elements, uncorrected: 0.035 eV/atom
! - Space group: P4/mbm
! - Offset from the most stable computed form: 0 meV per atom


Record 11
! Ni2HPdRh (PBE-GGA, relaxed); values from VASP
&SYSTEM
  ibrav = 0, nat = 5, ntyp = 4
/
ATOMIC_SPECIES
Ni 58.69 Ni.upf
H 1.01 H.upf
Pd 106.42 Pd.upf
Rh 102.91 Rh.upf
CELL_PARAMETERS angstrom
3.8021 0.0000 0.0000
0.0000 3.8021 0.0000
0.0000 0.0000 3.7567
ATOMIC_POSITIONS crystal
Ni 0.0000 0.5000 0.0000
Ni 0.5000 0.0000 0.0000
H 0.0000 0.0000 0.0000
Pd 0.0000 0.0000 0.5000
Rh 0.5000 0.5000 0.5000
! - Density of states at the Fermi level: 1.5856 states/eV per atom
! - Space group: P4/mmm
! - Offset from the most stable computed form: 57 meV per atom


Record 12
! Ac6SnPt4 (PBE-GGA, relaxed); values from VASP
&SYSTEM
  ibrav = 0, nat = 22, ntyp = 3
/
ATOMIC_SPECIES
Ac 227.00 Ac.upf
Sn 118.71 Sn.upf
Pt 195.08 Pt.upf
CELL_PARAMETERS angstrom
2.2545 -7.2870 0.0000
2.2545 7.2870 0.0000
0.0000 0.0000 22.3250
ATOMIC_POSITIONS crystal
Ac 0.0000 0.0000 0.0000
Ac 0.0000 0.0000 0.5000
Ac 0.1738 0.8262 0.7500
Ac 0.2696 0.7304 0.0832
Ac 0.2696 0.7304 0.4168
Ac 0.4606 0.5394 0.6584
Ac 0.4606 0.5394 0.8416
Ac 0.5394 0.4606 0.1584
Ac 0.5394 0.4606 0.3416
Ac 0.7304 0.2696 0.5832
Ac 0.7304 0.2696 0.9168
Ac 0.8262 0.1738 0.2500
Sn 0.1548 0.8452 0.2500
Sn 0.8452 0.1548 0.7500
Pt 0.0963 0.9037 0.6249
Pt 0.0963 0.9037 0.8751
Pt 0.3631 0.6369 0.5414
Pt 0.3631 0.6369 0.9586
Pt 0.6369 0.3631 0.0414
Pt 0.6369 0.3631 0.4586
Pt 0.9037 0.0963 0.1249
Pt 0.9037 0.0963 0.3751
! - Formation energy: -1.01 eV per atom
! - Density of states at the Fermi level: 0.5603 states/eV per atom
! - Space group: Cmcm